# 1
Crystalline LiPu3In4 at its relaxed geometry, computed with PBE.

The structure in POSCAR format:
```
LiPu3In4
1.0
3.2401 0.0000 0.0000
0.0000 3.2401 0.0000
0.0000 0.0000 18.2091
Pu In Li
3 4 1
Direct
0.5000 0.5000 0.2303 Pu
0.5000 0.5000 0.5000 Pu
0.5000 0.5000 0.7697 Pu
0.0000 0.0000 0.9032 In
0.0000 0.0000 0.0968 In
0.0000 0.0000 0.3648 In
0.0000 0.0000 0.6352 In
0.5000 0.5000 0.0000 Li
```

Values from the calculation:
As for the space-group type: P4/mmm. Its formation energy is -0.211 eV per atom.

---

# 2
Crystalline BeAgSb2F at its relaxed geometry, computed with PBE.

The structure in POSCAR format:
```
BeAgSb2F
1.0
5.3649 0.0000 0.0000
0.0000 4.1628 0.0000
0.0000 0.0000 5.3649
Sb Be Ag F
2 1 1 1
Direct
0.0000 0.0000 0.5000 Sb
0.5000 0.0000 0.0000 Sb
0.5000 0.5000 0.5000 Be
0.0000 0.0000 0.0000 Ag
0.0000 0.5000 0.0000 F
```

Values from the calculation:
As for the space-group type: P4/mmm. The value obtained for the uncorrected formation energy is 0.432 eV per atom.

---

# 3
Crystalline Ac2PuAs4Rh3 at its relaxed geometry, computed with PBE.

The structure in POSCAR format:
```
Ac2PuAs4Rh3
1.0
-1.4988 -4.0768 0.9236
2.0476 0.1393 3.9380
-9.0719 4.3689 4.5625
Ac Pu As Rh
2 1 4 3
Direct
0.5000 0.0000 0.2258 Ac
0.0000 0.5000 0.7742 Ac
0.5000 0.5000 0.5000 Pu
0.5000 0.5000 0.0000 As
0.0000 0.0000 0.0000 As
0.5000 0.0000 0.6642 As
0.0000 0.5000 0.3358 As
0.0000 0.0000 0.5000 Rh
0.5000 0.0000 0.8945 Rh
0.0000 0.5000 0.1055 Rh
```

Values from the calculation:
As for the space-group type: P-4m2. Its formation energy is -0.880 eV per atom.

---

# 4
Crystalline SbN2O2 at its relaxed geometry, computed with PBE.

The structure in POSCAR format:
```
SbN2O2
1.0
-2.6047 -3.2229 0.1327
2.9081 -2.2725 1.8888
-1.3264 1.2163 3.5055
Sb O N
1 2 2
Direct
0.0000 0.0000 0.0000 Sb
0.5000 0.5000 0.5000 O
0.0000 0.0000 0.5000 O
0.0000 0.5000 0.0000 N
0.5000 0.0000 0.0000 N
```

Values from the calculation:
The energy above the lowest structure with this stoichiometry is 2058.1 meV per atom. As for the space-group type: P4/mmm. The value obtained for the uncorrected formation energy is 1.481 eV per atom.

---

# 5
Crystalline Li2PrHoAu4 at its relaxed geometry, computed with PBE.

The structure in POSCAR format:
```
Li2PrHoAu4
1.0
-3.6657 2.5088 -1.2480
-3.8287 -2.0956 -1.4960
-5.6726 -0.2139 7.7025
Li Pr Ho Au
2 1 1 4
Direct
0.7546 0.7546 0.7361 Li
0.2454 0.2454 0.2639 Li
0.0000 0.0000 0.0000 Pr
0.5000 0.5000 0.5000 Ho
0.3932 0.3932 0.8205 Au
0.8850 0.8850 0.3451 Au
0.1150 0.1150 0.6549 Au
0.6068 0.6068 0.1795 Au
```

Values from the calculation:
As for the space-group type: R-3m. Its formation energy is -0.706 eV per atom.

---

# 6
Crystalline Rb2In2Au at its relaxed geometry, computed with PBE.

The structure in POSCAR format:
```
Rb2In2Au
1.0
-1.9131 -1.0060 -4.5326
-2.4357 -3.9561 1.9061
-8.5742 2.2542 0.3369
Au Rb In
1 2 2
Direct
0.0000 0.0000 0.0000 Au
0.7500 0.2500 0.5000 Rb
0.2500 0.7500 0.5000 Rb
0.4158 0.4158 0.1684 In
0.5842 0.5842 0.8316 In
```

Values from the calculation:
The energy above the lowest structure with this stoichiometry is 552.2 meV per atom. As for the space-group type: I4/mmm. Its formation energy is 0.391 eV per atom.

---

# 7
Crystalline TaAg2Sn at its relaxed geometry, computed with PBE.

The structure in POSCAR format:
```
TaAg2Sn
1.0
2.9691 0.0000 0.0000
1.4846 2.5713 0.0000
1.4846 0.8571 10.8801
Sn Ag Ta
1 2 1
Direct
0.5000 0.5000 0.5000 Sn
0.0843 0.0843 0.7470 Ag
0.9157 0.9157 0.2530 Ag
0.0000 0.0000 0.0000 Ta
```

Values from the calculation:
As for the space-group type: R-3m. Its formation energy is 0.504 eV per atom.

---

# 8
Crystalline Li2BeAl2Cu5 at its relaxed geometry, computed with PBE.

The structure in POSCAR format:
```
Li2BeAl2Cu5
1.0
-1.2877 -0.1836 2.3471
8.1926 -4.3660 4.1533
3.5347 9.1588 2.6555
Li Be Al Cu
4 2 4 10
Direct
0.0000 0.6659 0.1659 Li
0.0000 0.3341 0.8341 Li
0.0000 0.1659 0.3341 Li
0.0000 0.8341 0.6659 Li
0.0000 0.0000 0.0000 Be
0.0000 0.5000 0.5000 Be
0.0000 0.1419 0.6419 Al
0.0000 0.8581 0.3581 Al
0.0000 0.6419 0.8581 Al
0.0000 0.3581 0.1419 Al
0.5000 0.1723 0.0555 Cu
0.5000 0.8277 0.9445 Cu
0.5000 0.0555 0.8277 Cu
0.5000 0.6723 0.4445 Cu
0.5000 0.9445 0.1723 Cu
0.5000 0.3277 0.5555 Cu
0.5000 0.5555 0.6723 Cu
0.5000 0.4445 0.3277 Cu
0.5000 0.5000 0.0000 Cu
0.5000 0.0000 0.5000 Cu
```

Values from the calculation:
As for the space-group type: P4/mbm. Its formation energy is -0.083 eV per atom.

---

| no. | magnetic moment (μB/cell) |
| --- | --- |
| 1 | 5.8 |
| 2 | 0.0 |
| 3 | 5.1 |
| 4 | 5.0 |
| 5 | 0.0 |
| 6 | 0.0 |
| 7 | 0.0 |
| 8 | 0.0 |